(1)
First-principles (PBE) data for a relaxed Ac2Sb3Ir4Pb crystal, as listed in Alexandria via LeMat-Bulk.

N(E_F)	0.7025	states/eV per atom
crystal system	tetragonal
ΔE_f (raw)	-5.3	eV/f.u.

Unit cell a=4.6297 b=4.6297 c=10.8799 alpha=90.00 beta=90.00 gamma=90.00
With the nearest neighbours (Å) after each atom.
Sites, in units of the cell vectors:
Ir  0.0000  0.0000  0.0000  4 Sb 2.69
Ir  0.5000  0.5000  0.0000  4 Sb 2.69
Sb  0.0000  0.0000  0.5000  4 Ir 2.74
Ir  0.0000  0.5000  0.3652  3 Sb 2.60-2.74, 2 Pb 2.74
Ac  0.5000  0.0000  0.2446  6 Sb 3.52-3.62, 8 Ir 3.53, 2 Pb 3.62
Pb  0.5000  0.5000  0.5000  4 Ir 2.74
Ir  0.5000  0.0000  0.6348  3 Sb 2.60-2.74, 2 Pb 2.74
Sb  0.5000  0.0000  0.8734  5 Ir 2.60-2.69
Sb  0.0000  0.5000  0.1266  5 Ir 2.60-2.69
Ac  0.0000  0.5000  0.7554  6 Sb 3.52-3.62, 8 Ir 3.53, 2 Pb 3.62

(2)
First-principles (PBE) data for a relaxed TlCdPd4 crystal, as listed in Alexandria via LeMat-Bulk.

N(E_F)	1.3809	states/eV per atom
distance to the lowest polymorph of the same formula	0.61	eV/f.u.
crystal system	cubic
formation energy from the elements	-0.08	eV/atom

Unit cell a=5.3777 b=5.3777 c=5.3777 alpha=60.00 beta=60.00 gamma=60.00
With the nearest neighbours (Å) after each atom.
Sites, in units of the cell vectors:
Pd  0.1244  0.6252  0.6252  6 Pd 2.68-2.69
Pd  0.6252  0.1244  0.6252  6 Pd 2.68-2.69
Cd  0.0000  0.0000  0.0000  12 Pd 3.15, 4 Tl 3.29
Pd  0.6252  0.6252  0.1244  6 Pd 2.68-2.69
Pd  0.6252  0.6252  0.6252  6 Pd 2.68-2.69
Tl  0.2500  0.2500  0.2500  12 Pd 3.15, 4 Cd 3.29

(3)
First-principles (PBE) data for a relaxed LiZr2Cu crystal, as listed in Alexandria via LeMat-Bulk.

N(E_F)	0.9310	states/eV per atom
distance to the lowest polymorph of the same formula	0.28	eV/f.u.
crystal system	tetragonal
formation energy from the elements	0.08	eV/atom

Unit cell a=4.5649 b=4.5649 c=3.4434 alpha=90.00 beta=90.00 gamma=90.01
With the nearest neighbours (Å) after each atom.
Sites, in units of the cell vectors:
Zr  0.5000  0.5000  0.0000  4 Cu 2.86, 4 Li 2.86
Li  0.0000  0.5000  0.5000  8 Zr 2.86
Zr  0.0000  0.0000  0.0000  4 Li 2.86, 4 Cu 2.86
Cu  0.5000  0.0000  0.5000  8 Zr 2.86

(4)
First-principles (PBE) data for a relaxed Li2SiPb crystal, as listed in Alexandria via LeMat-Bulk.

N(E_F)	0.4407	states/eV per atom
distance to the lowest polymorph of the same formula	0.15	eV/f.u.
crystal system	tetragonal
ΔE_f (raw)	-0.2	eV/f.u.

Unit cell a=5.2296 b=5.2296 c=5.2296 alpha=132.46 beta=132.46 gamma=69.51
With the nearest neighbours (Å) after each atom.
Sites, in units of the cell vectors:
Si  0.7500  0.2500  0.5000  8 Li 2.98-3.01, 4 Pb 3.01
Li  0.2500  0.7500  0.5000  4 Si 2.98, 4 Li 3.01, 4 Pb 3.01
Li  0.0000  0.0000  0.0000  4 Pb 2.98, 4 Li 3.01, 4 Si 3.01
Pb  0.5000  0.5000  0.0000  8 Li 2.98-3.01, 4 Si 3.01

We obtain uncorrected energy values of -6.50; -4.09; -5.69; -3.29 eV per atom for the records listed above, in that order.